(1)
Compound: Zn2CrFeBr
Source: Alexandria via LeMat-Bulk
Functional: PBE-GGA
Structure: relaxed

Cell: 5.022 5.022 4.849 Å, 90.00 90.00 90.00°
Space group P4/mmm (No. 123)
One atom of each set of equivalent atoms:
Zn 0.000 0.500 0.000 x2
Cr 0.000 0.000 0.000 x1
Fe 0.500 0.500 0.500 x1
Br 0.000 0.000 0.500 x1

Calculated values
* total energy: -17.20 eV for the cell shown

(2)
Compound: BeVS3
Source: Alexandria via LeMat-Bulk
Functional: PBE-GGA
Structure: relaxed

Cell: 4.550 4.550 4.550 Å, 90.00 90.00 90.00°
Space group Pm-3m (No. 221)
One atom of each set of equivalent atoms:
Be 0.000 0.000 0.000 x1
V 0.500 0.500 0.500 x1
S 0.000 0.500 0.500 x3

Calculated values
* distance to the lowest polymorph of the same formula: 89 meV per atom

(3)
Compound: CsMg3Pb2
Source: Alexandria via LeMat-Bulk
Functional: PBE-GGA
Structure: relaxed

Cell: 18.430 4.913 9.493 Å, 90.00 112.11 90.00°
Space group C2/m (No. 12)
One atom of each set of equivalent atoms:
Cs 0.157 0.000 0.063 x4
Mg 0.037 0.000 0.362 x4
Mg 0.082 0.500 0.648 x4
Mg 0.184 0.500 0.447 x4
Pb 0.027 0.500 0.182 x4
Pb 0.179 0.000 0.657 x4

Calculated values
* calculated formation energy: -0.13 eV per atom

(4)
Compound: CsK2ICl
Source: Alexandria via LeMat-Bulk
Functional: PBE-GGA
Structure: relaxed

Cell: 6.068 6.068 7.362 Å, 90.00 90.00 90.00°
Space group P4/mmm (No. 123)
One atom of each set of equivalent atoms:
Cs 0.000 0.000 0.000 x1
K 0.000 0.500 0.500 x2
I 0.500 0.500 0.000 x1
Cl 0.000 0.000 0.500 x1

Calculated values
* total energy: -12.47 eV for the cell shown

(5)
Compound: TmTeF
Source: Alexandria via LeMat-Bulk
Functional: PBE-GGA
Structure: relaxed

Cell: 7.247 7.505 6.747 Å, 90.00 110.13 90.00°
Space group P2_1/c (No. 14)
One atom of each set of equivalent atoms:
Tm 0.024 0.138 0.245 x4
Te 0.296 0.073 0.677 x4
F 0.089 0.627 0.623 x4

Calculated values
* distance to the lowest polymorph of the same formula: 81 meV per atom

(6)
Compound: LiCePaIn
Source: Alexandria via LeMat-Bulk
Functional: PBE-GGA
Structure: relaxed

Cell: 7.331 7.331 7.331 Å, 90.00 90.00 90.00°
Space group F-43m (No. 216)
One atom of each set of equivalent atoms:
Li 0.000 0.000 0.000 x4
Ce 0.250 0.250 0.250 x4
Pa 0.000 0.000 0.500 x4
In 0.250 0.250 0.750 x4

Calculated values
* calculated formation energy: 0.24 eV per atom

(7)
Compound: Cu2SnBi2
Source: Alexandria via LeMat-Bulk
Functional: PBE-GGA
Structure: relaxed

Cell: 8.555 8.555 3.249 Å, 90.00 90.00 90.00°
Space group P4/mbm (No. 127)
One atom of each set of equivalent atoms:
Cu 0.106 0.394 0.000 x4
Sn 0.000 0.000 0.500 x2
Bi 0.179 0.679 0.500 x4

Calculated values
* calculated formation energy: 0.29 eV per atom
* distance to the lowest polymorph of the same formula: 131 meV per atom

(8)
Compound: SrCrAu
Source: Alexandria via LeMat-Bulk
Functional: PBE-GGA
Structure: relaxed

Cell: 7.046 7.046 7.046 Å, 90.00 90.00 90.00°
Space group F-43m (No. 216)
One atom of each set of equivalent atoms:
Sr 0.000 0.000 0.000 x4
Cr 0.000 0.000 0.500 x4
Au 0.250 0.250 0.750 x4

Calculated values
* calculated formation energy: 0.14 eV per atom
* distance to the lowest polymorph of the same formula: 138 meV per atom

(9)
Compound: Ba2PtCl
Source: Alexandria via LeMat-Bulk
Functional: PBE-GGA
Structure: relaxed

Cell: 5.110 4.107 12.301 Å, 90.00 90.00 90.00°
Space group Amm2 (No. 38)
One atom of each set of equivalent atoms:
Ba 0.000 0.000 0.000 x2
Ba 0.500 0.000 0.247 x2
Pt 0.000 0.000 0.735 x2
Cl 0.500 0.000 0.501 x2

Calculated values
* distance to the lowest polymorph of the same formula: 151 meV per atom

(10)
Compound: DyTm2MgHg4
Source: Alexandria via LeMat-Bulk
Functional: PBE-GGA
Structure: relaxed

Cell: 5.1183 5.1183 25.4742 Å, 90.00 90.00 120.00°
Space group R-3m (No. 166, hexagonal axes)
One atom of each set of equivalent atoms:
Dy 0.0000 0.0000 0.0000 x3
Tm 0.0000 0.0000 0.2458 x6
Mg 0.0000 0.0000 0.5000 x3
Hg 0.0000 0.0000 0.1252 x6
Hg 0.0000 0.0000 0.3747 x6

Calculated values
* calculated formation energy: -0.45 eV per atom

(11)
Compound: K15Na
Source: Alexandria via LeMat-Bulk
Functional: PBE-GGA
Structure: relaxed

Cell: 9.2735 9.2735 14.9583 Å, 90.00 90.00 120.00°
Space group P-6m2 (No. 187)
One atom of each set of equivalent atoms:
K 0.0000 0.0000 0.0000 x1
K 0.0042 0.5021 0.5000 x3
K 0.3277 0.1639 0.2585 x6
K 0.3333 0.6667 0.2450 x2
K 0.5020 0.0040 0.0000 x3
Na 0.0000 0.0000 0.5000 x1

Calculated values
* calculated formation energy: 0.01 eV per atom